[1]
The following is a DFT calculation (PBE) of a relaxed ZrSc4Al2 crystal.

Geometry as CIF:
```
data_ZrSc4Al2
_chemical_formula_sum 'Zr2 Sc8 Al4'
_cell_length_a 5.178
_cell_length_b 5.178
_cell_length_c 12.029
_cell_angle_alpha 90.00
_cell_angle_beta 90.00
_cell_angle_gamma 90.00
_symmetry_space_group_name_H-M 'I 4/m m m'
_symmetry_Int_Tables_number 139
_symmetry_space_group_name_Hall '-I 4 2'
loop_
_atom_site_label
_atom_site_type_symbol
_atom_site_fract_x
_atom_site_fract_y
_atom_site_fract_z
Zr1 Zr 0.000 0.000 0.000
Sc1 Sc 0.000 0.500 0.000
Sc2 Sc 0.000 0.500 0.250
Al1 Al 0.000 0.000 0.382
```

**Calculated volume**: 23.0 A^3/atom
**ΔE_f**: 23 kJ per mole of atoms
**Mass density**: 3.3 g/cm3
**Polymorph energy (0 for the lowest one)**: 484 meV per atom



[2]
The following is a DFT calculation (PBE) of a relaxed MgAs4Au crystal.

Geometry as CIF:
```
data_MgAs4Au
_chemical_formula_sum 'Mg4 As16 Au4'
_cell_length_a 7.878
_cell_length_b 7.878
_cell_length_c 7.878
_cell_angle_alpha 90.00
_cell_angle_beta 90.00
_cell_angle_gamma 90.00
_symmetry_space_group_name_H-M 'F -4 3 m'
_symmetry_Int_Tables_number 216
_symmetry_space_group_name_Hall 'F -4 2 3'
loop_
_atom_site_label
_atom_site_type_symbol
_atom_site_fract_x
_atom_site_fract_y
_atom_site_fract_z
Mg1 Mg 0.000 0.000 0.000
As1 As 0.124 0.124 0.624
Au1 Au 0.250 0.250 0.250
```

**Calculated volume**: 20.4 A^3/atom
**ΔE_f**: 24 kJ per mole of atoms
**Mass density**: 7.1 g/cm3



[3]
The following is a DFT calculation (PBE) of a relaxed MoOsPbW2 crystal.

Geometry as CIF:
```
data_MoOsPbW2
_chemical_formula_sum 'Mo1 Os1 Pb1 W2'
_cell_length_a 4.818
_cell_length_b 4.818
_cell_length_c 4.783
_cell_angle_alpha 90.00
_cell_angle_beta 90.00
_cell_angle_gamma 90.00
_symmetry_space_group_name_H-M 'P 4/m m m'
_symmetry_Int_Tables_number 123
_symmetry_space_group_name_Hall '-P 4 2'
loop_
_atom_site_label
_atom_site_type_symbol
_atom_site_fract_x
_atom_site_fract_y
_atom_site_fract_z
Mo1 Mo 0.000 0.000 0.000
Os1 Os 0.000 0.000 0.500
Pb1 Pb 0.500 0.500 0.500
W1 W 0.000 0.500 0.000
```

**Calculated volume**: 22.2 A^3/atom
**ΔE_f**: 194 kJ per mole of atoms
**Mass density**: 12.9 g/cm3



[4]
The following is a DFT calculation (PBE) of a relaxed SrNd2In crystal.

Geometry as CIF:
```
data_SrNd2In
_chemical_formula_sum 'Sr1 Nd2 In1'
_cell_length_a 3.784
_cell_length_b 3.784
_cell_length_c 10.150
_cell_angle_alpha 90.00
_cell_angle_beta 90.00
_cell_angle_gamma 90.00
_symmetry_space_group_name_H-M 'P 4/m m m'
_symmetry_Int_Tables_number 123
_symmetry_space_group_name_Hall '-P 4 2'
loop_
_atom_site_label
_atom_site_type_symbol
_atom_site_fract_x
_atom_site_fract_y
_atom_site_fract_z
Sr1 Sr 0.000 0.000 0.000
Nd1 Nd 0.500 0.500 0.302
In1 In 0.000 0.000 0.500
```

**Calculated volume**: 36.3 A^3/atom
**ΔE_f**: -13 kJ per mole of atoms
**Mass density**: 5.6 g/cm3
**Polymorph energy (0 for the lowest one)**: 18 meV per atom



[5]
The following is a DFT calculation (PBE) of a relaxed BiOsSeBr2 crystal.

Geometry as CIF:
```
data_BiOsSeBr2
_chemical_formula_sum 'Bi1 Os1 Se1 Br2'
_cell_length_a 5.106
_cell_length_b 5.106
_cell_length_c 4.832
_cell_angle_alpha 90.00
_cell_angle_beta 90.00
_cell_angle_gamma 90.00
_symmetry_space_group_name_H-M 'P 4/m m m'
_symmetry_Int_Tables_number 123
_symmetry_space_group_name_Hall '-P 4 2'
loop_
_atom_site_label
_atom_site_type_symbol
_atom_site_fract_x
_atom_site_fract_y
_atom_site_fract_z
Bi1 Bi 0.000 0.000 0.000
Os1 Os 0.500 0.500 0.500
Se1 Se 0.500 0.500 0.000
Br1 Br 0.000 0.500 0.500
```

**E_form (uncorrected)**: 236.1 kJ/mol of formula units
**Calculated volume**: 25.2 A^3/atom
**Mass density**: 8.4 g/cm3
**Polymorph energy (0 for the lowest one)**: 0 meV per atom



[6]
The following is a DFT calculation (PBE) of a relaxed InPS crystal.

Geometry as CIF:
```
data_InPS
_chemical_formula_sum 'In4 P4 S4'
_cell_length_a 13.461
_cell_length_b 4.010
_cell_length_c 6.062
_cell_angle_alpha 90.00
_cell_angle_beta 115.19
_cell_angle_gamma 90.00
_symmetry_space_group_name_H-M 'C 1 m 1'
_symmetry_Int_Tables_number 8
loop_
_symmetry_equiv_pos_as_xyz
'x,y,z'
'x,-y,z'
'x+1/2,y+1/2,z'
'x+1/2,-y+1/2,z'
loop_
_atom_site_label
_atom_site_type_symbol
_atom_site_fract_x
_atom_site_fract_y
_atom_site_fract_z
In1 In 0.000 0.000 0.000
In2 In 0.202 0.000 0.444
P1 P 0.256 0.500 0.985
P2 P 0.326 0.000 0.920
S1 S 0.084 0.500 0.805
S2 S 0.320 0.500 0.371
```

**E_form (uncorrected)**: -41.1 kJ/mol of formula units
**Calculated volume**: 24.7 A^3/atom
**Mass density**: 4.0 g/cm3



Question: Among the records above, which one has the highest mass density?
Answer: MoOsPbW2